# 1
A plane-wave DFT calculation with GGA-PBEsol was carried out for a relaxed structure of ZnCd2Si.

Computed properties:
M_tot   0.00 μB per formula unit
Mass density   7.1 g/cm³
Crystal system   monoclinic
E_form (uncorrected)   0.23 eV/atom

a = 11.3496 Å, b = 2.7376 Å, c = 5.1227 Å
α = 90.00°, β = 111.38°, γ = 90.00°
Last column: nearest neighbours and their distance in Å.
Space group Cm (No. 8)
One atom of each set of equivalent atoms:
1 Zn 0.0000 0.0000 0.0000 x2  2 Si 2.66, 2 Zn 2.74, 6 Cd 2.90-2.93
2 Cd 0.2549 0.0000 0.7848 x2  2 Cd 2.74, 2 Zn 2.93, 4 Si 2.93-2.94
3 Cd 0.4752 0.0000 0.4837 x2  2 Cd 2.74, 4 Zn 2.90-2.93
4 Si 0.2122 0.5000 0.2492 x2  2 Zn 2.66, 2 Si 2.74, 4 Cd 2.93-2.94

=====

# 2
A plane-wave DFT calculation with GGA-PBEsol was carried out for a relaxed structure of KB2Cl.

Computed properties:
M_tot   0.00 μB per formula unit
Mass density   2.3 g/cm³
Crystal system   tetragonal
E_form (uncorrected)   0.58 eV/atom

a = 3.6970 Å, b = 3.6970 Å, c = 20.6455 Å
α = 90.00°, β = 90.00°, γ = 90.00°
Last column: nearest neighbours and their distance in Å.
Space group I4_1/amd (No. 141, origin choice 2)
One atom of each set of equivalent atoms:
1 K 0.0000 0.2500 0.3750 x4  4 Cl 2.61
2 B 0.0000 0.0000 0.0000 x8  2 B 1.85
3 Cl 0.0000 0.2500 0.8750 x4  4 K 2.61, 4 B 2.74